{"formula": "PuV4In", "functional": "PBE-GGA", "state": "optimized geometry", "cell": [[-1.016, -4.566, 2.392], [3.142, -4.136, -0.790], [3.131, -1.696, 3.863]], "species": ["V", "In", "V", "Pu", "V", "V"], "frac_coords": [[0.622, 0.622, 0.134], [0.000, 0.000, 0.000], [0.622, 0.622, 0.622], [0.250, 0.250, 0.250], [0.134, 0.622, 0.622], [0.622, 0.134, 0.622]], "ef_ev_per_atom": 0.28, "magmom_total_mub_per_cell": 4.9}

{"formula": "BaPmCuO4", "functional": "PBE-GGA", "state": "optimized geometry", "cell": [[-4.718, -2.841, -2.089], [3.157, -2.188, -4.155], [3.435, -4.258, 4.853]], "species": ["Cu", "Cu", "O", "O", "Ba", "Pm", "O", "Ba", "O", "O", "O", "O", "O", "Pm"], "frac_coords": [[0.239, 0.750, 0.309], [0.761, 0.250, 0.691], [0.451, 0.750, 0.566], [0.455, 0.750, 0.166], [0.295, 0.250, 0.071], [0.211, 0.250, 0.546], [0.549, 0.250, 0.434], [0.705, 0.750, 0.929], [0.997, 0.488, 0.713], [0.003, 0.512, 0.287], [0.545, 0.250, 0.834], [0.003, 0.988, 0.287], [0.997, 0.012, 0.713], [0.789, 0.750, 0.454]], "magmom_total_mub_per_cell": 4.0, "formation_energy_uncorrected_ev_per_atom": -2.030}

{"formula": "CsK2TcI8", "functional": "PBE-GGA", "state": "optimized geometry", "cell": [[-3.526, -5.571, -4.444], [3.780, -4.600, 2.985], [-5.140, -3.335, 8.330]], "species": ["I", "I", "I", "I", "Tc", "K", "I", "I", "K", "Cs", "I", "I"], "frac_coords": [[0.997, 0.344, 0.771], [0.003, 0.656, 0.229], [0.759, 0.170, 0.124], [0.500, 0.749, 0.507], [0.000, 0.000, 0.000], [0.490, 0.690, 0.179], [0.753, 0.819, 0.881], [0.500, 0.251, 0.493], [0.510, 0.310, 0.821], [0.000, 0.000, 0.500], [0.247, 0.181, 0.119], [0.241, 0.830, 0.876]], "magmom_total_mub_per_cell": 2.9, "formation_energy_uncorrected_ev_per_atom": -0.768}

no.,D(E_F) (states/eV/f.u.),uncorrected energy (eV for the cell shown)
1,12.63,-51.87
2,0.79,-89.63
3,2.66,-35.04